[1]
# YCI3, relaxed, DFT PBE-GGA
# E: -3.52 eV per atom
# energy above the lowest structure with this stoichiometry: 0 meV per atom
# E_form (uncorrected): 0.547 eV per atom
# density: 3659 kg/m3
data_YCI3
_space_group_name_H-M_alt 'P m -3 m'
_space_group_IT_number 221
_space_group_name_Hall '-P 4 2 3'
_cell_length_a 6.024
_cell_length_b 6.024
_cell_length_c 6.024
_cell_angle_alpha 90.00
_cell_angle_beta 90.00
_cell_angle_gamma 90.00
loop_
_atom_site_label
_atom_site_type_symbol
_atom_site_fract_x
_atom_site_fract_y
_atom_site_fract_z
Y1 Y 0.000 0.000 0.000
C1 C 0.500 0.500 0.500
I1 I 0.000 0.000 0.500

[2]
# YC2I, relaxed, DFT PBE-GGA
# E: -5.13 eV per atom
# energy above the lowest structure with this stoichiometry: 0 meV per atom
# E_form (uncorrected): 1.490 eV per atom
# density: 4903 kg/m3
data_YC2I
_space_group_name_H-M_alt 'I -4 2 d'
_space_group_IT_number 122
_space_group_name_Hall 'I -4 2bw'
_cell_length_a 5.341
_cell_length_b 5.341
_cell_length_c 11.390
_cell_angle_alpha 90.00
_cell_angle_beta 90.00
_cell_angle_gamma 90.00
loop_
_atom_site_label
_atom_site_type_symbol
_atom_site_fract_x
_atom_site_fract_y
_atom_site_fract_z
Y1 Y 0.000 0.000 0.000
C1 C 0.236 0.250 0.625
I1 I 0.000 0.000 0.500

[3]
# YCI3, relaxed, DFT PBE-GGA
# E: -3.41 eV per atom
# energy above the lowest structure with this stoichiometry: 114 meV per atom
# E_form (uncorrected): 0.661 eV per atom
# density: 6052 kg/m3
data_YCI3
_space_group_name_H-M_alt 'P m -3 m'
_space_group_IT_number 221
_space_group_name_Hall '-P 4 2 3'
_cell_length_a 5.094
_cell_length_b 5.094
_cell_length_c 5.094
_cell_angle_alpha 90.00
_cell_angle_beta 90.00
_cell_angle_gamma 90.00
loop_
_atom_site_label
_atom_site_type_symbol
_atom_site_fract_x
_atom_site_fract_y
_atom_site_fract_z
Y1 Y 0.000 0.000 0.000
C1 C 0.500 0.500 0.500
I1 I 0.000 0.500 0.500

[4]
# Y6C2I7, relaxed, DFT PBE-GGA
# E: -5.63 eV per atom
# E_form (uncorrected): -1.087 eV per atom
# density: 5022 kg/m3
data_Y6C2I7
_space_group_name_H-M_alt 'C 1 2/m 1'
_space_group_IT_number 12
_space_group_name_Hall '-C 2y'
_cell_length_a 21.861
_cell_length_b 3.937
_cell_length_c 13.100
_cell_angle_alpha 90.00
_cell_angle_beta 122.01
_cell_angle_gamma 90.00
loop_
_atom_site_label
_atom_site_type_symbol
_atom_site_fract_x
_atom_site_fract_y
_atom_site_fract_z
Y1 Y 0.136 0.000 0.052
Y2 Y 0.192 0.500 0.877
Y3 Y 0.240 0.000 0.700
C1 C 0.218 0.500 0.092
I1 I 0.000 0.500 0.000
I2 I 0.060 0.000 0.782
I3 I 0.116 0.500 0.580
I4 I 0.157 0.000 0.314

[5]
# YC2I, relaxed, DFT PBE-GGA
# E: -4.76 eV per atom
# energy above the lowest structure with this stoichiometry: 370 meV per atom
# E_form (uncorrected): 1.860 eV per atom
# density: 6157 kg/m3
data_YC2I
_space_group_name_H-M_alt 'F m -3 m'
_space_group_IT_number 225
_space_group_name_Hall '-F 4 2 3'
_cell_length_a 6.372
_cell_length_b 6.372
_cell_length_c 6.372
_cell_angle_alpha 90.00
_cell_angle_beta 90.00
_cell_angle_gamma 90.00
loop_
_atom_site_label
_atom_site_type_symbol
_atom_site_fract_x
_atom_site_fract_y
_atom_site_fract_z
Y1 Y 0.000 0.000 0.000
C1 C 0.250 0.250 0.250
I1 I 0.000 0.000 0.500

[6]
# Y2CI3, relaxed, DFT PBE-GGA
# E: -5.49 eV per atom
# E_form (uncorrected): -1.023 eV per atom
# density: 4523 kg/m3
data_Y2CI3
_space_group_name_H-M_alt 'C 1 2/m 1'
_space_group_IT_number 12
_space_group_name_Hall '-C 2y'
_cell_length_a 19.128
_cell_length_b 4.028
_cell_length_c 11.483
_cell_angle_alpha 90.00
_cell_angle_beta 108.72
_cell_angle_gamma 90.00
loop_
_atom_site_label
_atom_site_type_symbol
_atom_site_fract_x
_atom_site_fract_y
_atom_site_fract_z
Y1 Y 0.064 0.000 0.191
Y2 Y 0.108 0.500 0.944
C1 C 0.018 0.500 0.062
I1 I 0.078 0.000 0.728
I2 I 0.133 0.500 0.397
I3 I 0.212 0.000 0.128

[7]
# Y2CI2, relaxed, DFT PBE-GGA
# E: -6.03 eV per atom
# E_form (uncorrected): -0.977 eV per atom
# density: 4953 kg/m3
data_Y2CI2
_space_group_name_H-M_alt 'P -3 m 1'
_space_group_IT_number 164
_space_group_name_Hall '-P 3 2"'
_cell_length_a 3.8767
_cell_length_b 3.8767
_cell_length_c 11.4265
_cell_angle_alpha 90.00
_cell_angle_beta 90.00
_cell_angle_gamma 120.00
loop_
_atom_site_label
_atom_site_type_symbol
_atom_site_fract_x
_atom_site_fract_y
_atom_site_fract_z
Y1 Y 0.3333 0.6667 0.3849
C1 C 0.0000 0.0000 0.5000
I1 I 0.3333 0.6667 0.8049

[8]
# Y3CI3, relaxed, DFT PBE-GGA
# E: -5.77 eV per atom
# E_form (uncorrected): -1.021 eV per atom
# density: 5297 kg/m3
data_Y3CI3
_space_group_name_H-M_alt 'P 1 21/m 1'
_space_group_IT_number 11
_space_group_name_Hall '-P 2yb'
_cell_length_a 8.722
_cell_length_b 3.922
_cell_length_c 12.095
_cell_angle_alpha 90.00
_cell_angle_beta 92.05
_cell_angle_gamma 90.00
loop_
_atom_site_label
_atom_site_type_symbol
_atom_site_fract_x
_atom_site_fract_y
_atom_site_fract_z
Y1 Y 0.081 0.250 0.402
Y2 Y 0.112 0.250 0.807
Y3 Y 0.292 0.750 0.613
C1 C 0.117 0.250 0.611
I1 I 0.141 0.250 0.132
I2 I 0.373 0.750 0.867
I3 I 0.384 0.750 0.369

[9]
# Y5C2I9, relaxed, DFT PBE-GGA
# E: -5.26 eV per atom
# E_form (uncorrected): -1.212 eV per atom
# density: 4528 kg/m3
data_Y5C2I9
_space_group_name_H-M_alt 'P 1 21/c 1'
_space_group_IT_number 14
_space_group_name_Hall '-P 2ybc'
_cell_length_a 11.094
_cell_length_b 17.486
_cell_length_c 14.355
_cell_angle_alpha 90.00
_cell_angle_beta 121.95
_cell_angle_gamma 90.00
loop_
_atom_site_label
_atom_site_type_symbol
_atom_site_fract_x
_atom_site_fract_y
_atom_site_fract_z
Y1 Y 0.014 0.155 0.216
Y2 Y 0.017 0.555 0.753
Y3 Y 0.150 0.538 0.533
Y4 Y 0.191 0.181 0.053
Y5 Y 0.334 0.059 0.301
C1 C 0.070 0.030 0.163
C2 C 0.119 0.085 0.116
I1 I 0.085 0.192 0.640
I2 I 0.087 0.563 0.155
I3 I 0.098 0.699 0.669
I4 I 0.281 0.671 0.467
I5 I 0.292 0.070 0.943
I6 I 0.294 0.183 0.440
I7 I 0.318 0.559 0.957
I8 I 0.460 0.560 0.734
I9 I 0.485 0.185 0.250

[10]
# Y2CI2, relaxed, DFT PBE-GGA
# E: -6.03 eV per atom
# E_form (uncorrected): -0.977 eV per atom
# density: 4800 kg/m3
data_Y2CI2
_space_group_name_H-M_alt 'C 1 2/m 1'
_space_group_IT_number 12
_space_group_name_Hall '-C 2y'
_cell_length_a 6.714
_cell_length_b 3.877
_cell_length_c 12.058
_cell_angle_alpha 90.00
_cell_angle_beta 102.08
_cell_angle_gamma 90.00
loop_
_atom_site_label
_atom_site_type_symbol
_atom_site_fract_x
_atom_site_fract_y
_atom_site_fract_z
Y1 Y 0.209 0.000 0.112
C1 C 0.000 0.500 0.000
I1 I 0.056 0.000 0.704

[11]
# Y3CI, relaxed, DFT PBE-GGA
# E: -6.21 eV per atom
# energy above the lowest structure with this stoichiometry: 0 meV per atom
# E_form (uncorrected): -0.179 eV per atom
# density: 5426 kg/m3
data_Y3CI
_space_group_name_H-M_alt 'P m -3 m'
_space_group_IT_number 221
_space_group_name_Hall '-P 4 2 3'
_cell_length_a 4.988
_cell_length_b 4.988
_cell_length_c 4.988
_cell_angle_alpha 90.00
_cell_angle_beta 90.00
_cell_angle_gamma 90.00
loop_
_atom_site_label
_atom_site_type_symbol
_atom_site_fract_x
_atom_site_fract_y
_atom_site_fract_z
Y1 Y 0.000 0.000 0.500
C1 C 0.000 0.000 0.000
I1 I 0.500 0.500 0.500

[12]
# Y3C2I2, relaxed, DFT PBE-GGA
# E: -6.36 eV per atom
# E_form (uncorrected): -0.516 eV per atom
# density: 5017 kg/m3
data_Y3C2I2
_space_group_name_H-M_alt 'P -1'
_space_group_IT_number 2
_space_group_name_Hall '-P 1'
_cell_length_a 3.681
_cell_length_b 6.374
_cell_length_c 8.117
_cell_angle_alpha 81.57
_cell_angle_beta 89.93
_cell_angle_gamma 73.26
loop_
_atom_site_label
_atom_site_type_symbol
_atom_site_fract_x
_atom_site_fract_y
_atom_site_fract_z
Y1 Y 0.000 0.000 0.000
Y2 Y 0.229 0.543 0.816
C1 C 0.364 0.272 0.058
I1 I 0.118 0.762 0.374

[13]
# Zn3CI, relaxed, DFT PBE-GGA
# E: -2.36 eV per atom
# energy above the lowest structure with this stoichiometry: 0 meV per atom
# E_form (uncorrected): 0.561 eV per atom
# density: 6307 kg/m3
data_Zn3CI
_space_group_name_H-M_alt 'P m -3 m'
_space_group_IT_number 221
_space_group_name_Hall '-P 4 2 3'
_cell_length_a 4.452
_cell_length_b 4.452
_cell_length_c 4.452
_cell_angle_alpha 90.00
_cell_angle_beta 90.00
_cell_angle_gamma 90.00
loop_
_atom_site_label
_atom_site_type_symbol
_atom_site_fract_x
_atom_site_fract_y
_atom_site_fract_z
Zn1 Zn 0.000 0.000 0.500
C1 C 0.000 0.000 0.000
I1 I 0.500 0.500 0.500

[14]
# Zn3CI, relaxed, DFT PBE-GGA
# E: -0.90 eV per atom
# energy above the lowest structure with this stoichiometry: 1459 meV per atom
# E_form (uncorrected): 2.020 eV per atom
# density: 2756 kg/m3
data_Zn3CI
_space_group_name_H-M_alt 'P m -3 m'
_space_group_IT_number 221
_space_group_name_Hall '-P 4 2 3'
_cell_length_a 5.867
_cell_length_b 5.867
_cell_length_c 5.867
_cell_angle_alpha 90.00
_cell_angle_beta 90.00
_cell_angle_gamma 90.00
loop_
_atom_site_label
_atom_site_type_symbol
_atom_site_fract_x
_atom_site_fract_y
_atom_site_fract_z
Zn1 Zn 0.000 0.000 0.500
C1 C 0.500 0.500 0.500
I1 I 0.000 0.000 0.000

[15]
# ZnCI3, relaxed, DFT PBE-GGA
# E: -1.92 eV per atom
# energy above the lowest structure with this stoichiometry: 0 meV per atom
# E_form (uncorrected): 1.110 eV per atom
# density: 5644 kg/m3
data_ZnCI3
_space_group_name_H-M_alt 'P m -3 m'
_space_group_IT_number 221
_space_group_name_Hall '-P 4 2 3'
_cell_length_a 5.127
_cell_length_b 5.127
_cell_length_c 5.127
_cell_angle_alpha 90.00
_cell_angle_beta 90.00
_cell_angle_gamma 90.00
loop_
_atom_site_label
_atom_site_type_symbol
_atom_site_fract_x
_atom_site_fract_y
_atom_site_fract_z
Zn1 Zn 0.000 0.000 0.000
C1 C 0.500 0.500 0.500
I1 I 0.000 0.500 0.500

[16]
# ZnCI3, relaxed, DFT PBE-GGA
# E: -1.61 eV per atom
# energy above the lowest structure with this stoichiometry: 312 meV per atom
# E_form (uncorrected): 1.422 eV per atom
# density: 4373 kg/m3
data_ZnCI3
_space_group_name_H-M_alt 'P m -3 m'
_space_group_IT_number 221
_space_group_name_Hall '-P 4 2 3'
_cell_length_a 5.582
_cell_length_b 5.582
_cell_length_c 5.582
_cell_angle_alpha 90.00
_cell_angle_beta 90.00
_cell_angle_gamma 90.00
loop_
_atom_site_label
_atom_site_type_symbol
_atom_site_fract_x
_atom_site_fract_y
_atom_site_fract_z
Zn1 Zn 0.000 0.000 0.000
C1 C 0.500 0.500 0.500
I1 I 0.000 0.000 0.500

[17]
# ZnC2I, relaxed, DFT PBE-GGA
# E: -2.59 eV per atom
# energy above the lowest structure with this stoichiometry: 713 meV per atom
# E_form (uncorrected): 2.728 eV per atom
# density: 6511 kg/m3
data_ZnC2I
_space_group_name_H-M_alt 'F m -3 m'
_space_group_IT_number 225
_space_group_name_Hall '-F 4 2 3'
_cell_length_a 6.043
_cell_length_b 6.043
_cell_length_c 6.043
_cell_angle_alpha 90.00
_cell_angle_beta 90.00
_cell_angle_gamma 90.00
loop_
_atom_site_label
_atom_site_type_symbol
_atom_site_fract_x
_atom_site_fract_y
_atom_site_fract_z
Zn1 Zn 0.000 0.000 0.000
C1 C 0.250 0.250 0.250
I1 I 0.000 0.000 0.500

[18]
# ZnC2I, relaxed, DFT PBE-GGA
# E: -3.30 eV per atom
# energy above the lowest structure with this stoichiometry: 0 meV per atom
# E_form (uncorrected): 2.015 eV per atom
# density: 5545 kg/m3
data_ZnC2I
_space_group_name_H-M_alt 'I -4 2 d'
_space_group_IT_number 122
_space_group_name_Hall 'I -4 2bw'
_cell_length_a 4.977
_cell_length_b 4.977
_cell_length_c 10.461
_cell_angle_alpha 90.00
_cell_angle_beta 90.00
_cell_angle_gamma 90.00
loop_
_atom_site_label
_atom_site_type_symbol
_atom_site_fract_x
_atom_site_fract_y
_atom_site_fract_z
Zn1 Zn 0.000 0.000 0.000
C1 C 0.217 0.250 0.125
I1 I 0.000 0.000 0.500

[19]
# ZrCI3, relaxed, DFT PBE-GGA
# E: -3.33 eV per atom
# energy above the lowest structure with this stoichiometry: 194 meV per atom
# E_form (uncorrected): 1.157 eV per atom
# density: 6396 kg/m3
data_ZrCI3
_space_group_name_H-M_alt 'P m -3 m'
_space_group_IT_number 221
_space_group_name_Hall '-P 4 2 3'
_cell_length_a 5.009
_cell_length_b 5.009
_cell_length_c 5.009
_cell_angle_alpha 90.00
_cell_angle_beta 90.00
_cell_angle_gamma 90.00
loop_
_atom_site_label
_atom_site_type_symbol
_atom_site_fract_x
_atom_site_fract_y
_atom_site_fract_z
Zr1 Zr 0.000 0.000 0.000
C1 C 0.500 0.500 0.500
I1 I 0.000 0.500 0.500

[20]
# Zr3CI3, relaxed, DFT PBE-GGA
# E: -6.38 eV per atom
# E_form (uncorrected): -0.735 eV per atom
# density: 5898 kg/m3
data_Zr3CI3
_space_group_name_H-M_alt 'P 1 21/m 1'
_space_group_IT_number 11
_space_group_name_Hall '-P 2yb'
_cell_length_a 8.283
_cell_length_b 3.692
_cell_length_c 12.270
_cell_angle_alpha 90.00
_cell_angle_beta 90.81
_cell_angle_gamma 90.00
loop_
_atom_site_label
_atom_site_type_symbol
_atom_site_fract_x
_atom_site_fract_y
_atom_site_fract_z
Zr1 Zr 0.074 0.250 0.413
Zr2 Zr 0.120 0.250 0.779
Zr3 Zr 0.286 0.750 0.615
C1 C 0.102 0.250 0.596
I1 I 0.136 0.250 0.152
I2 I 0.370 0.750 0.855
I3 I 0.389 0.750 0.381